A plane-wave DFT calculation with PBE-GGA was carried out for crystalline PrBeAl2Os2 at its relaxed geometry.

POSCAR file:
```
PrBeAl2Os2
1.0
4.3473 0.0000 0.0000
0.0000 4.3473 0.0000
0.0000 0.0000 5.5328
Pr Be Al Os
1 1 2 2
Cartesian
0.0000 0.0000 0.0000
0.0000 0.0000 2.7664
2.1737 2.1737 1.3830
2.1737 2.1737 4.1498
0.0000 2.1737 2.7664
2.1737 0.0000 2.7664
```

Summary:
total magnetic moment	0.00	Bohr magnetons per cell
space group	No. 123
volume	104.56	Å³ per cell
DFT formation energy	-202	kJ/mol of formula units
electronic total energy	-6.758	eV per atom